TlSiHAu2 | PBE-GGA | optimized geometry

a b c (Å): 5.0554 5.0554 3.5445
angles (deg): 90.00 90.00 90.00
Fractional coordinates of all 5 atoms:
H 0.0000 0.0000 0.5000
Tl 0.5000 0.5000 0.5000
Au 0.0000 0.5000 0.0000
Au 0.5000 0.0000 0.0000
Si 0.0000 0.0000 0.0000

Values from the calculation:
- density (Mg/m³) = 11.50
- E (eV/atom) = -3.445
- SG = No. 123



In2SiPt | PBE-GGA | optimized geometry

a b c (Å): 6.6901 6.6901 6.6901
angles (deg): 151.61 142.62 47.59
Fractional coordinates of all 4 atoms:
In 0.9789 0.9789 0.0000
In 0.2883 0.7883 0.5000
Pt 0.5446 0.5446 0.0000
Si 0.6882 0.1882 0.5000

Values from the calculation:
- density (Mg/m³) = 8.73
- ΔE_f (raw) (eV per atom) = -0.089
- E (eV/atom) = -4.324
- SG = No. 44



Ac2MgAs3Ir4 | PBE-GGA | optimized geometry

a b c (Å): 4.2616 4.2616 10.9630
angles (deg): 90.00 90.00 90.00
Fractional coordinates of all 10 atoms:
Ac 0.5000 0.0000 0.2498
Ac 0.0000 0.5000 0.7502
Mg 0.5000 0.5000 0.5000
As 0.0000 0.0000 0.5000
As 0.5000 0.0000 0.8700
As 0.0000 0.5000 0.1300
Ir 0.5000 0.5000 0.0000
Ir 0.0000 0.0000 0.0000
Ir 0.5000 0.0000 0.6440
Ir 0.0000 0.5000 0.3560

Values from the calculation:
- density (Mg/m³) = 12.28
- energy relative to the elements (eV per atom) = -0.7016
- E (eV/atom) = -6.622
- SG = No. 115



Cs4Pa3HgO12 | PBE-GGA | optimized geometry

a b c (Å): 7.7687 7.7687 7.7687
angles (deg): 109.47 109.47 109.47
Fractional coordinates of all 20 atoms:
Cs 0.5000 0.5000 0.5000
Cs 0.0000 0.0000 0.5000
Cs 0.5000 0.0000 0.0000
Cs 0.0000 0.5000 0.0000
Pa 0.5000 0.0000 0.5000
Pa 0.5000 0.5000 0.0000
Pa 0.0000 0.5000 0.5000
Hg 0.0000 0.0000 0.0000
O 0.2500 0.5000 0.7500
O 0.7287 0.0000 0.7287
O 0.2713 0.0000 0.2713
O 0.7500 0.5000 0.2500
O 0.7287 0.7287 0.0000
O 0.2713 0.2713 0.0000
O 0.7500 0.2500 0.5000
O 0.2500 0.7500 0.5000
O 0.5000 0.2500 0.7500
O 0.0000 0.7287 0.7287
O 0.5000 0.7500 0.2500
O 0.0000 0.2713 0.2713

Values from the calculation:
- density (Mg/m³) = 7.44
- ΔE_f (raw) (eV per atom) = -2.343
- E (eV/atom) = -6.928
- SG = No. 229



Which of these has the lowest E? Cs4Pa3HgO12